1.
SmYMg14 PBE relaxed; SG = No. 123
1.0
6.937 0.000 0.000
0.000 6.937 0.000
0.000 0.000 8.029
Sm Y Mg
1 1 14
Cartesian
0.000 0.000 0.000
3.468 3.468 0.000
0.000 0.000 4.014
0.000 3.468 0.000
0.000 3.468 4.014
1.741 1.741 2.104
1.741 1.741 5.925
1.741 5.196 2.104
1.741 5.196 5.925
3.468 0.000 0.000
3.468 0.000 4.014
3.468 3.468 4.014
5.196 1.741 2.104
5.196 1.741 5.925
5.196 5.196 2.104
5.196 5.196 5.925

***

2.
BaMg2In4Hg PBE relaxed; SG = No. 166
1.0
2.591 1.496 9.889
-2.591 1.496 9.889
0.000 -2.992 9.889
Ba Mg In Hg
1 2 4 1
Cartesian
0.000 0.000 0.000
0.000 0.000 7.174
0.000 0.000 22.493
0.000 0.000 3.806
0.000 0.000 11.857
0.000 0.000 17.810
0.000 0.000 25.861
0.000 0.000 14.833

***

no.,calculated formation energy (eV/atom)
1,-0.04
2,-0.17